# 1
Density functional theory data (PBE-GGA) for a relaxed structure of Tl4SiCl.

Lattice parameters (Å, degrees): 6.3686 6.3686 6.3686 60.00 60.00 60.00
Sites, in units of the cell vectors:
Tl: 0.1252 0.1252 0.1252
Tl: 0.1252 0.1252 0.6245
Tl: 0.1252 0.6245 0.1252
Tl: 0.6245 0.1252 0.1252
Si: 0.5000 0.5000 0.5000
Cl: 0.7500 0.7500 0.7500

Values from the calculation:
- SG = F-43m, No. 216
- M_tot (μB/f.u.) = 0.00
- formation energy (no corrections) (eV per atom) = 0.282

# 2
Density functional theory data (PBE-GGA) for a relaxed structure of K2TbNpO6.

Lattice parameters (Å, degrees): 6.0983 6.0983 6.0983 60.00 60.00 60.00
Sites, in units of the cell vectors:
K: 0.2500 0.2500 0.2500
K: 0.7500 0.7500 0.7500
Tb: 0.0000 0.0000 0.0000
Np: 0.5000 0.5000 0.5000
O: 0.2643 0.2643 0.7357
O: 0.2643 0.7357 0.2643
O: 0.2643 0.7357 0.7357
O: 0.7357 0.2643 0.2643
O: 0.7357 0.2643 0.7357
O: 0.7357 0.7357 0.2643

Values from the calculation:
- SG = Fm-3m, No. 225
- M_tot (μB/f.u.) = 0.00
- formation energy (no corrections) (eV per atom) = -2.678